Here is Li2Cd2Hg4Pb3 after structural relaxation from Alexandria via LeMat-Bulk. Energies are from PBE-GGA.

```
Li2Cd2Hg4Pb3
1.0
4.9846 0.0000 0.0000
-2.4923 4.3168 0.0000
0.0000 0.0000 13.0544
Li Cd Hg Pb
2 2 4 3
Direct
0.6667 0.3333 0.8766
0.3333 0.6667 0.1234
0.6667 0.3333 0.4231
0.3333 0.6667 0.5769
0.6667 0.3333 0.1199
0.3333 0.6667 0.8801
0.6667 0.3333 0.6468
0.3333 0.6667 0.3532
0.0000 0.0000 0.7367
0.0000 0.0000 0.0000
0.0000 0.0000 0.2633
```

Output
**Uncorrected energy**: -1.7194 eV/atom
**ΔE_f**: -0.084 eV per atom

=====

Here is NdYEr2 after structural relaxation from Alexandria via LeMat-Bulk. Energies are from PBE-GGA.

```
NdYEr2
1.0
3.4970 0.0207 1.0413
0.8335 5.7214 3.4738
-0.1050 0.4276 6.7307
Nd Y Er
1 1 2
Direct
0.2500 0.1683 0.3316
0.7500 0.6660 0.8340
0.0007 0.0817 0.9161
0.4993 0.5839 0.4183
```

Output
**Uncorrected energy**: -5.0733 eV/atom
**ΔE_f**: 0.016 eV per atom
**E above lowest polymorph**: 0.029 eV per formula unit

=====

Here is Dy4HoTmSe8 after structural relaxation from Alexandria via LeMat-Bulk. Energies are from PBE-GGA.

```
Dy4HoTmSe8
1.0
8.3925 0.0000 0.0000
4.1962 7.2681 0.0000
4.1962 2.4227 6.8441
Dy Ho Tm Se
4 1 1 8
Direct
0.6245 0.6245 0.1265
0.0001 0.4997 0.5001
0.4997 0.0001 0.5001
0.0001 0.0001 0.5001
0.3754 0.3754 0.8738
0.0001 0.0001 0.9996
0.2404 0.7726 0.7465
0.7726 0.2404 0.7465
0.2404 0.2404 0.7465
0.2434 0.2434 0.2697
0.7602 0.2259 0.2538
0.2259 0.7602 0.2538
0.7602 0.7602 0.2538
0.7570 0.7570 0.7291
```

Output
**E_form (uncorrected)**: -1.71 eV/atom
**Uncorrected energy**: -5.6601 eV/atom

=====

Here is AlSiS4 after structural relaxation from Alexandria via LeMat-Bulk. Energies are from PBE-GGA.

```
AlSiS4
1.0
5.7072 0.0000 0.0000
0.0000 5.7237 0.0000
0.0000 0.0000 11.4914
Al Si S
2 2 8
Direct
0.0000 0.0000 0.0000
0.5000 0.0000 0.5000
0.0000 0.5000 0.0000
0.0000 0.0000 0.5000
0.2083 0.2678 0.1023
0.2083 0.7322 0.8977
0.7917 0.2678 0.8977
0.7917 0.7322 0.1023
0.7674 0.7923 0.6026
0.7674 0.2077 0.3974
0.2326 0.7923 0.3974
0.2326 0.2077 0.6026
```

Output
**E_form (uncorrected)**: -0.61 eV/atom
**Uncorrected energy**: -4.8897 eV/atom

=====

Here is Li6MgIn12 after structural relaxation from Alexandria via LeMat-Bulk. Energies are from PBE-GGA.

```
Li6MgIn12
1.0
7.5809 0.0191 0.0650
0.0654 7.5807 -0.0650
0.0189 -0.0191 7.5812
Li Mg In
6 1 12
Direct
0.1130 0.7281 0.2734
0.7281 0.7266 0.1130
0.2734 0.1130 0.2719
0.8870 0.2719 0.7266
0.2719 0.2734 0.8870
0.7266 0.8870 0.7281
0.0000 0.0000 0.0000
0.4587 0.7952 0.4379
0.2048 0.4379 0.5413
0.5621 0.5413 0.7952
0.5413 0.2048 0.5621
0.7952 0.5621 0.4587
0.4379 0.4587 0.2048
0.8483 0.0179 0.3683
0.3683 0.8483 0.9821
0.0179 0.6317 0.8483
0.1517 0.9821 0.6317
0.6317 0.1517 0.0179
0.9821 0.3683 0.1517
```

Output
**Uncorrected energy**: -2.5598 eV/atom
**ΔE_f**: -0.142 eV per atom
**E above lowest polymorph**: 0.000 eV per formula unit

=====

Here is Nd9Dy4Cd11 after structural relaxation from Alexandria via LeMat-Bulk. Energies are from PBE-GGA.

```
Nd9Dy4Cd11
1.0
3.5977 0.0000 0.0000
0.0000 13.1794 -5.3767
0.0000 0.2352 14.2320
Nd Dy Cd
9 4 11
Direct
0.5000 0.6273 0.1480
0.5000 0.3727 0.8520
0.5000 0.1480 0.6273
0.5000 0.8520 0.3727
0.5000 0.7916 0.9613
0.5000 0.2084 0.0387
0.5000 0.9613 0.7916
0.5000 0.0387 0.2084
0.5000 0.5000 0.5000
0.5000 0.5616 0.7475
0.5000 0.4384 0.2525
0.5000 0.7475 0.5616
0.5000 0.2525 0.4384
0.0000 0.5847 0.9433
0.0000 0.4153 0.0567
0.0000 0.9433 0.5847
0.0000 0.0567 0.4153
0.0000 0.6350 0.3650
0.0000 0.3650 0.6350
0.0000 0.8324 0.1676
0.0000 0.1676 0.8324
0.0000 0.0000 0.0000
0.0000 0.7450 0.7450
0.0000 0.2550 0.2550
```

Output
**Uncorrected energy**: -3.2173 eV/atom
**ΔE_f**: -0.243 eV per atom

=====

Here is La7Sm2Er3 after structural relaxation from Alexandria via LeMat-Bulk. Energies are from PBE-GGA.

```
La7Sm2Er3
1.0
-2.6910 -0.8116 2.2331
-1.4552 -5.2327 -3.6553
9.9649 -13.7231 7.0211
La Sm Er
7 2 3
Direct
0.5000 0.2286 0.5093
0.5000 0.7714 0.4907
0.0000 0.5539 0.1660
0.0000 0.0000 0.0000
0.0000 0.4461 0.8340
0.5000 0.9443 0.8274
0.5000 0.0557 0.1726
0.5000 0.6114 0.3301
0.5000 0.3886 0.6699
0.5000 0.5000 0.0000
0.0000 0.1197 0.3385
0.0000 0.8803 0.6615
```

Output
**Uncorrected energy**: -4.7409 eV/atom
**ΔE_f**: 0.061 eV per atom

=====

Here is La2GeBr after structural relaxation from Alexandria via LeMat-Bulk. Energies are from PBE-GGA.

```
La2GeBr
1.0
-3.4313 -6.7369 -1.3103
1.3800 0.8114 7.5248
-6.8366 6.7666 -2.0755
La Ge Br
8 4 4
Direct
0.5740 0.8444 0.1253
0.0514 0.2809 0.1253
0.4260 0.1556 0.8747
0.9486 0.7191 0.8747
0.3017 0.5734 0.6242
0.1775 0.9493 0.3758
0.6983 0.4266 0.3758
0.8225 0.0507 0.6242
0.3162 0.0662 0.1324
0.6838 0.9338 0.8676
0.0586 0.8086 0.6172
0.9414 0.1914 0.3828
0.4352 0.6852 0.3705
0.1894 0.4394 0.8789
0.5648 0.3148 0.6295
0.8106 0.5606 0.1211
```

Output
**E_form (uncorrected)**: -1.23 eV/atom
**Uncorrected energy**: -5.2670 eV/atom
**E above lowest polymorph**: 0.010 eV per formula unit

=====

Here is Ti2Al3V4 after structural relaxation from Alexandria via LeMat-Bulk. Energies are from PBE-GGA.

```
Ti2Al3V4
1.0
-0.6417 -2.6785 -2.2099
-3.1710 -0.1170 3.8840
-7.5330 3.6719 -2.2632
Ti Al V
2 3 4
Direct
0.3349 0.6697 0.2235
0.6651 0.3303 0.7765
0.3423 0.6847 0.5519
0.0000 0.0000 0.0000
0.6577 0.3153 0.4481
0.6704 0.3408 0.1123
0.9957 0.9914 0.6780
0.0043 0.0086 0.3220
0.3296 0.6592 0.8877
```

Output
**Uncorrected energy**: -7.2230 eV/atom
**ΔE_f**: -0.168 eV per atom